[1]
# Tb5CS4

A geometry-optimized Tb5CS4 structure (PBE-GGA, Alexandria).

Cell lengths 14.035, 14.035, 14.035 Å; angles 164.11, 164.11, 22.54 degrees
Sites, in units of the cell vectors:
Tb 0.000 0.000 0.000
Tb 0.202 0.202 0.000
Tb 0.412 0.412 0.000
Tb 0.588 0.588 0.000
Tb 0.798 0.798 0.000
C 0.500 0.500 0.000
S 0.100 0.100 0.000
S 0.304 0.304 0.000
S 0.696 0.696 0.000
S 0.900 0.900 0.000

## Properties
E_form (uncorrected) in eV per atom: -1.69
Total moment in Bohr magnetons per cell: 0.00
DOS at the Fermi energy in states/eV/cell: 3.6
Space group: I4/mmm

[2]
# Tb2CS

A geometry-optimized Tb2CS structure (PBE-GGA, Alexandria).

Cell lengths 6.918, 6.918, 6.918 Å; angles 31.03, 31.03, 31.03 degrees
Sites, in units of the cell vectors:
Tb 0.000 0.000 0.000
Tb 0.195 0.195 0.195
C 0.596 0.596 0.596
S 0.765 0.765 0.765

## Properties
E_form (uncorrected) in eV per atom: -1.19
Total moment in Bohr magnetons per cell: 0.00
DOS at the Fermi energy in states/eV/cell: 0.0
Space group: R3m

[3]
# Tb5C2S2

A geometry-optimized Tb5C2S2 structure (PBE-GGA, Alexandria).

Cell lengths 7.727, 7.727, 7.154 Å; angles 90.00, 90.00, 54.80 degrees
Sites, in units of the cell vectors:
Tb 0.000 0.000 0.000
Tb 0.034 0.720 0.655
Tb 0.220 0.534 0.155
Tb 0.280 0.966 0.655
Tb 0.466 0.780 0.155
Tb 0.500 0.500 0.500
Tb 0.534 0.220 0.845
Tb 0.720 0.034 0.345
Tb 0.780 0.466 0.845
Tb 0.966 0.280 0.345
C 0.168 0.832 0.339
C 0.332 0.668 0.839
C 0.668 0.332 0.161
C 0.832 0.168 0.661
S 0.200 0.200 0.000
S 0.300 0.300 0.500
S 0.700 0.700 0.500
S 0.800 0.800 0.000

## Properties
E_form (uncorrected) in eV per atom: -0.80
Total moment in Bohr magnetons per cell: 0.00
DOS at the Fermi energy in states/eV/cell: 9.8
Space group: Cmce

[4]
# Tb6CS3

A geometry-optimized Tb6CS3 structure (PBE-GGA, Alexandria).

Cell lengths 6.429, 7.214, 11.238 Å; angles 90.00, 119.55, 90.00 degrees
Sites, in units of the cell vectors:
Tb 0.100 0.203 0.437
Tb 0.100 0.297 0.937
Tb 0.241 0.672 0.418
Tb 0.241 0.828 0.918
Tb 0.389 0.025 0.229
Tb 0.389 0.475 0.729
Tb 0.611 0.525 0.271
Tb 0.611 0.975 0.771
Tb 0.759 0.172 0.082
Tb 0.759 0.328 0.582
Tb 0.900 0.703 0.063
Tb 0.900 0.797 0.563
C 0.000 0.000 0.000
C 0.000 0.500 0.500
S 0.165 0.123 0.712
S 0.165 0.377 0.212
S 0.500 0.000 0.500
S 0.500 0.500 0.000
S 0.835 0.623 0.788
S 0.835 0.877 0.288

## Properties
E_form (uncorrected) in eV per atom: -1.17
Total moment in Bohr magnetons per cell: 0.00
DOS at the Fermi energy in states/eV/cell: 14.6
Space group: P2_1/c

[5]
# Tb6CS2

A geometry-optimized Tb6CS2 structure (PBE-GGA, Alexandria).

Cell lengths 7.315, 7.315, 9.071 Å; angles 104.86, 104.86, 29.72 degrees
Sites, in units of the cell vectors:
Tb 0.022 0.022 0.280
Tb 0.309 0.309 0.360
Tb 0.377 0.377 0.983
Tb 0.623 0.623 0.017
Tb 0.691 0.691 0.640
Tb 0.978 0.978 0.720
C 0.000 0.000 0.000
S 0.333 0.333 0.668
S 0.667 0.667 0.332

## Properties
E_form (uncorrected) in eV per atom: -0.92
Total moment in Bohr magnetons per cell: 1.30
DOS at the Fermi energy in states/eV/cell: 8.7
Space group: C2/m

[6]
# Tb3CS

A geometry-optimized Tb3CS structure (PBE-GGA, Alexandria).

Cell lengths 3.711, 6.976, 9.018 Å; angles 90.00, 101.80, 90.00 degrees
Sites, in units of the cell vectors:
Tb 0.013 0.250 0.019
Tb 0.348 0.029 0.697
Tb 0.348 0.471 0.697
Tb 0.652 0.529 0.303
Tb 0.652 0.971 0.303
Tb 0.987 0.750 0.981
C 0.119 0.750 0.236
C 0.881 0.250 0.764
S 0.206 0.250 0.412
S 0.794 0.750 0.588

## Properties
E_form (uncorrected) in eV per atom: -0.76
Total moment in Bohr magnetons per cell: 0.00
DOS at the Fermi energy in states/eV/cell: 4.9
Space group: P2_1/m

[7]
# Tb7CS5

A geometry-optimized Tb7CS5 structure (PBE-GGA, Alexandria).

Cell lengths 3.798, 6.689, 23.157 Å; angles 90.01, 90.02, 106.47 degrees
Sites, in units of the cell vectors:
Tb 0.000 0.000 0.000
Tb 0.009 0.019 0.146
Tb 0.178 0.354 0.371
Tb 0.195 0.394 0.788
Tb 0.297 0.595 0.065
Tb 0.350 0.698 0.565
Tb 0.451 0.900 0.288
Tb 0.469 0.940 0.871
Tb 0.636 0.275 0.646
Tb 0.650 0.293 0.500
Tb 0.725 0.451 0.208
Tb 0.765 0.532 0.934
Tb 0.883 0.762 0.434
Tb 0.920 0.842 0.708
C 0.264 0.523 0.468
C 0.384 0.770 0.968
S 0.009 0.020 0.590
S 0.093 0.184 0.254
S 0.115 0.231 0.899
S 0.278 0.558 0.678
S 0.368 0.735 0.178
S 0.533 0.062 0.399
S 0.553 0.109 0.754
S 0.636 0.273 0.090
S 0.809 0.615 0.323
S 0.838 0.678 0.823

## Properties
E_form (uncorrected) in eV per atom: -1.58
Total moment in Bohr magnetons per cell: 0.00
DOS at the Fermi energy in states/eV/cell: 12.2
Space group: P1

[8]
# Tb5CS5

A geometry-optimized Tb5CS5 structure (PBE-GGA, Alexandria).

Cell lengths 6.766, 6.766, 7.711 Å; angles 106.88, 106.88, 47.75 degrees
Sites, in units of the cell vectors:
Tb 0.000 0.000 0.000
Tb 0.345 0.345 0.685
Tb 0.350 0.350 0.161
Tb 0.650 0.650 0.839
Tb 0.655 0.655 0.315
C 0.500 0.500 0.000
S 0.169 0.169 0.836
S 0.175 0.175 0.331
S 0.500 0.500 0.500
S 0.825 0.825 0.669
S 0.831 0.831 0.164

## Properties
E_form (uncorrected) in eV per atom: -1.79
Total moment in Bohr magnetons per cell: 0.00
DOS at the Fermi energy in states/eV/cell: 2.5
Space group: C2/m

[9]
# Tb6CS5

A geometry-optimized Tb6CS5 structure (PBE-GGA, Alexandria).

Cell lengths 6.731, 6.731, 6.750 Å; angles 99.54, 99.54, 119.91 degrees
Sites, in units of the cell vectors:
Tb 0.076 0.383 0.730
Tb 0.229 0.229 0.268
Tb 0.383 0.076 0.730
Tb 0.617 0.924 0.270
Tb 0.771 0.771 0.732
Tb 0.924 0.617 0.270
C 0.000 0.000 0.500
S 0.172 0.828 0.000
S 0.334 0.666 0.500
S 0.500 0.500 0.000
S 0.666 0.334 0.500
S 0.828 0.172 0.000

## Properties
E_form (uncorrected) in eV per atom: -1.80
Total moment in Bohr magnetons per cell: 0.00
DOS at the Fermi energy in states/eV/cell: 4.5
Space group: C2/m

[10]
# Tb2C2S

A geometry-optimized Tb2C2S structure (PBE-GGA, Alexandria).

Cell lengths 7.210, 7.210, 6.748 Å; angles 104.52, 104.52, 31.13 degrees
Sites, in units of the cell vectors:
Tb 0.080 0.653 0.844
Tb 0.347 0.920 0.656
Tb 0.653 0.080 0.344
Tb 0.920 0.347 0.156
C 0.124 0.439 0.464
C 0.439 0.124 0.964
C 0.561 0.876 0.036
C 0.876 0.561 0.536
S 0.278 0.722 0.250
S 0.722 0.278 0.750

## Properties
E_form (uncorrected) in eV per atom: -0.97
Total moment in Bohr magnetons per cell: 0.00
DOS at the Fermi energy in states/eV/cell: 2.7
Space group: C2/c

[11]
# Tb3TeCS

A geometry-optimized Tb3TeCS structure (PBE-GGA, Alexandria).

Cell lengths 8.023, 3.797, 10.410 Å; angles 90.00, 104.94, 90.00 degrees
Sites, in units of the cell vectors:
Tb 0.009 0.250 0.361
Tb 0.314 0.250 0.046
Tb 0.366 0.750 0.604
Tb 0.634 0.250 0.396
Tb 0.686 0.750 0.954
Tb 0.991 0.750 0.639
Te 0.299 0.750 0.283
Te 0.701 0.250 0.717
C 0.170 0.250 0.582
C 0.830 0.750 0.418
S 0.337 0.750 0.870
S 0.663 0.250 0.130

## Properties
E_form (uncorrected) in eV per atom: -1.01
Total moment in Bohr magnetons per cell: 0.00
DOS at the Fermi energy in states/eV/cell: 5.5
Space group: P2_1/m

[12]
# Tb8Te4CS3

A geometry-optimized Tb8Te4CS3 structure (PBE-GGA, Alexandria).

Cell lengths 8.416, 8.416, 8.416 Å; angles 57.39, 57.39, 57.39 degrees
Sites, in units of the cell vectors:
Tb 0.235 0.235 0.235
Tb 0.258 0.720 0.720
Tb 0.280 0.280 0.742
Tb 0.280 0.742 0.280
Tb 0.720 0.258 0.720
Tb 0.720 0.720 0.258
Tb 0.742 0.280 0.280
Tb 0.765 0.765 0.765
Te 0.000 0.000 0.000
Te 0.000 0.500 0.500
Te 0.500 0.000 0.500
Te 0.500 0.500 0.000
C 0.500 0.500 0.500
S 0.000 0.000 0.500
S 0.000 0.500 0.000
S 0.500 0.000 0.000

## Properties
E_form (uncorrected) in eV per atom: -1.51
Total moment in Bohr magnetons per cell: 0.00
DOS at the Fermi energy in states/eV/cell: 5.5
Space group: R-3m

[13]
# Tb8Te3CS3

A geometry-optimized Tb8Te3CS3 structure (PBE-GGA, Alexandria).

Cell lengths 8.014, 8.014, 8.431 Å; angles 118.40, 118.40, 59.93 degrees
Sites, in units of the cell vectors:
Tb 0.217 0.217 0.694
Tb 0.217 0.761 0.694
Tb 0.239 0.783 0.306
Tb 0.266 0.266 0.299
Tb 0.734 0.734 0.701
Tb 0.761 0.217 0.694
Tb 0.783 0.239 0.306
Tb 0.783 0.783 0.306
Te 0.000 0.000 0.000
Te 0.000 0.500 0.000
Te 0.500 0.000 0.000
C 0.000 0.000 0.500
S 0.000 0.500 0.500
S 0.500 0.000 0.500
S 0.500 0.500 0.500

## Properties
E_form (uncorrected) in eV per atom: -1.39
Total moment in Bohr magnetons per cell: 0.00
DOS at the Fermi energy in states/eV/cell: 8.0
Space group: C2/m

[14]
# Tb4Te2CS

A geometry-optimized Tb4Te2CS structure (PBE-GGA, Alexandria).

Cell lengths 6.942, 3.963, 7.372 Å; angles 90.00, 108.04, 90.00 degrees
Sites, in units of the cell vectors:
Tb 0.211 0.000 0.195
Tb 0.241 0.500 0.802
Tb 0.759 0.500 0.198
Tb 0.789 0.000 0.805
Te 0.000 0.000 0.500
Te 0.500 0.500 0.500
C 0.000 0.500 0.000
S 0.500 0.000 0.000

## Properties
E_form (uncorrected) in eV per atom: -1.31
Total moment in Bohr magnetons per cell: 0.00
DOS at the Fermi energy in states/eV/cell: 2.9
Space group: P2/m

[15]
# Tb6TeC3S2

A geometry-optimized Tb6TeC3S2 structure (PBE-GGA, Alexandria).

Cell lengths 8.800, 8.800, 7.929 Å; angles 106.52, 106.52, 24.85 degrees
Sites, in units of the cell vectors:
Tb 0.011 0.011 0.215
Tb 0.319 0.319 0.435
Tb 0.339 0.339 0.897
Tb 0.661 0.661 0.103
Tb 0.681 0.681 0.565
Tb 0.989 0.989 0.785
Te 0.500 0.500 0.500
C 0.169 0.169 0.329
C 0.500 0.500 0.000
C 0.831 0.831 0.671
S 0.167 0.167 0.834
S 0.833 0.833 0.166

## Properties
E_form (uncorrected) in eV per atom: -1.09
Total moment in Bohr magnetons per cell: 0.00
DOS at the Fermi energy in states/eV/cell: 0.8
Space group: C2/m

[16]
# Tb4TeCS2

A geometry-optimized Tb4TeCS2 structure (PBE-GGA, Alexandria).

Cell lengths 6.793, 3.923, 7.206 Å; angles 90.00, 109.48, 90.00 degrees
Sites, in units of the cell vectors:
Tb 0.229 0.000 0.212
Tb 0.243 0.500 0.800
Tb 0.757 0.500 0.200
Tb 0.771 0.000 0.788
Te 0.000 0.000 0.500
C 0.000 0.500 0.000
S 0.500 0.000 0.000
S 0.500 0.500 0.500

## Properties
E_form (uncorrected) in eV per atom: -1.39
Total moment in Bohr magnetons per cell: 0.00
DOS at the Fermi energy in states/eV/cell: 2.6
Space group: P2/m

[17]
# Tb8Tl3CS3

A geometry-optimized Tb8Tl3CS3 structure (PBE-GGA, Alexandria).

Cell lengths 7.689, 7.689, 8.991 Å; angles 115.31, 115.31, 60.04 degrees
Sites, in units of the cell vectors:
Tb 0.214 0.214 0.688
Tb 0.214 0.761 0.688
Tb 0.239 0.786 0.312
Tb 0.266 0.266 0.297
Tb 0.734 0.734 0.703
Tb 0.761 0.214 0.688
Tb 0.786 0.239 0.312
Tb 0.786 0.786 0.312
Tl 0.000 0.000 0.000
Tl 0.000 0.500 0.000
Tl 0.500 0.000 0.000
C 0.000 0.000 0.500
S 0.000 0.500 0.500
S 0.500 0.000 0.500
S 0.500 0.500 0.500

## Properties
E_form (uncorrected) in eV per atom: -0.98
Total moment in Bohr magnetons per cell: 0.00
DOS at the Fermi energy in states/eV/cell: 8.1
Space group: C2/m

[18]
# TbTmCS

A geometry-optimized TbTmCS structure (PBE-GGA, Alexandria).

Cell lengths 3.762, 3.762, 5.263 Å; angles 90.00, 90.00, 90.00 degrees
Sites, in units of the cell vectors:
Tb 0.000 0.000 0.000
Tm 0.500 0.500 0.500
C 0.000 0.000 0.500
S 0.500 0.500 0.000

## Properties
E_form (uncorrected) in eV per atom: -1.07
Total moment in Bohr magnetons per cell: 0.00
DOS at the Fermi energy in states/eV/cell: 1.0
Space group: P4/mmm

[19]
# TbYCS

A geometry-optimized TbYCS structure (PBE-GGA, Alexandria).

Cell lengths 6.733, 6.733, 6.733 Å; angles 32.19, 32.19, 32.19 degrees
Sites, in units of the cell vectors:
Tb 0.000 0.000 0.000
Y 0.475 0.475 0.475
C 0.737 0.737 0.737
S 0.237 0.237 0.237

## Properties
E_form (uncorrected) in eV per atom: -1.28
Total moment in Bohr magnetons per cell: 0.00
DOS at the Fermi energy in states/eV/cell: 0.6
Space group: R3m

[20]
# TbZrCS

A geometry-optimized TbZrCS structure (PBE-GGA, Alexandria).

Cell lengths 6.722, 6.722, 6.722 Å; angles 30.48, 30.48, 30.48 degrees
Sites, in units of the cell vectors:
Tb 0.000 0.000 0.000
Zr 0.196 0.196 0.196
C 0.589 0.589 0.589
S 0.770 0.770 0.770

## Properties
E_form (uncorrected) in eV per atom: -1.24
Total moment in Bohr magnetons per cell: 0.00
DOS at the Fermi energy in states/eV/cell: 2.0
Space group: R3m

How do the records compare in electronic total energy? In the order shown, they have -65.758 -27.362 -114.163 -122.213 -53.540 -62.052 -165.579 -72.679 -79.269 -73.357 -72.920 -95.345 -88.931 -48.624 -79.914 -50.249 -80.466 -26.727 -29.555 -31.500 eV per cell.